SrCaP: relaxed, PBEsol.

E ... -49.45 eV/cell
Mass density ... 3.1 Mg/m³
Formation enthalpy at 0 K ... -866 meV per atom
Space-group type ... F-43m, No. 216

a b c (Å): 6.988 6.988 6.988
angles (deg): 90.00 90.00 90.00
Positions (direct):
Sr1 0.000 0.000 0.000
Sr2 0.000 0.500 0.500
Sr3 0.500 0.000 0.500
Sr4 0.500 0.500 0.000
Ca1 0.000 0.000 0.500
Ca2 0.000 0.500 0.000
Ca3 0.500 0.000 0.000
Ca4 0.500 0.500 0.500
P1 0.250 0.250 0.250
P2 0.250 0.750 0.750
P3 0.750 0.250 0.750
P4 0.750 0.750 0.250

=====

Cs2HgC: relaxed, PBEsol.

E ... -30.23 eV/cell
Mass density ... 5.8 Mg/m³
Formation enthalpy at 0 K ... 1134 meV per atom
Space-group type ... Fm-3m, No. 225

a b c (Å): 8.178 8.178 8.178
angles (deg): 90.00 90.00 90.00
Positions (direct):
Cs1 0.250 0.250 0.250
Cs2 0.250 0.250 0.750
Cs3 0.250 0.750 0.250
Cs4 0.250 0.750 0.750
Cs5 0.750 0.250 0.250
Cs6 0.750 0.250 0.750
Cs7 0.750 0.750 0.250
Cs8 0.750 0.750 0.750
Hg1 0.000 0.000 0.000
Hg2 0.000 0.500 0.500
Hg3 0.500 0.000 0.500
Hg4 0.500 0.500 0.000
C1 0.000 0.000 0.500
C2 0.000 0.500 0.000
C3 0.500 0.000 0.000
C4 0.500 0.500 0.500

=====

TlCd2As: relaxed, PBEsol.

E ... -28.26 eV/cell
Mass density ... 9.4 Mg/m³
Formation enthalpy at 0 K ... 178 meV per atom
Space-group type ... R-3m, No. 166

a b c (Å): 3.205 3.205 30.164
angles (deg): 90.00 90.00 120.00
Positions (direct):
Tl1 0.000 0.000 0.000
Tl2 0.333 0.667 0.667
Tl3 0.667 0.333 0.333
Cd1 0.000 0.000 0.244
Cd2 0.000 0.000 0.756
Cd3 0.333 0.667 0.422
Cd4 0.333 0.667 0.911
Cd5 0.667 0.333 0.089
Cd6 0.667 0.333 0.578
As1 0.000 0.000 0.500
As2 0.333 0.667 0.167
As3 0.667 0.333 0.833

=====

KCa5Mg5AlSi12O36: relaxed, PBEsol.

E ... -458.11 eV/cell
Uncorrected formation energy ... -2.9283 eV per atom
Mass density ... 3.3 Mg/m³
Space-group type ... C2, No. 5

a b c (Å): 6.592 6.592 15.796
angles (deg): 101.59 101.59 85.07
Positions (direct):
K1 0.000 0.000 0.000
Ca1 0.002 0.994 0.331
Ca2 0.006 0.998 0.669
Ca3 0.602 0.385 0.168
Ca4 0.606 0.394 0.500
Ca5 0.615 0.398 0.832
Mg1 0.210 0.785 0.834
Mg2 0.212 0.788 0.500
Mg3 0.215 0.790 0.166
Mg4 0.394 0.604 0.666
Mg5 0.396 0.606 0.334
Al1 0.401 0.599 0.000
Si1 0.110 0.314 0.506
Si2 0.114 0.316 0.844
Si3 0.117 0.318 0.176
Si4 0.497 0.074 0.326
Si5 0.497 0.077 0.660
Si6 0.501 0.073 0.990
Si7 0.682 0.883 0.824
Si8 0.684 0.886 0.156
Si9 0.686 0.890 0.494
Si10 0.923 0.503 0.340
Si11 0.926 0.503 0.674
Si12 0.927 0.499 0.010
O1 0.101 0.670 0.369
O2 0.103 0.670 0.702
O3 0.128 0.642 0.034
O4 0.191 0.082 0.474
O5 0.194 0.081 0.816
O6 0.221 0.092 0.152
O7 0.278 0.492 0.535
O8 0.279 0.501 0.204
O9 0.287 0.493 0.878
O10 0.330 0.897 0.298
O11 0.330 0.899 0.631
O12 0.358 0.872 0.966
O13 0.413 0.309 0.693
O14 0.418 0.313 0.018
O15 0.421 0.310 0.356
O16 0.499 0.721 0.796
O17 0.507 0.713 0.122
O18 0.508 0.722 0.465
O19 0.629 0.066 0.909
O20 0.635 0.070 0.581
O21 0.641 0.052 0.248
O22 0.664 0.040 0.084
O23 0.675 0.028 0.415
O24 0.678 0.027 0.746
O25 0.687 0.582 0.982
O26 0.690 0.579 0.644
O27 0.691 0.587 0.307
O28 0.908 0.779 0.848
O29 0.918 0.809 0.526
O30 0.919 0.806 0.184
O31 0.930 0.365 0.419
O32 0.934 0.371 0.091
O33 0.948 0.359 0.752
O34 0.960 0.336 0.916
O35 0.972 0.325 0.585
O36 0.973 0.322 0.254